Entry 1:
## Ba3TlAg3 (PBE-GGA)

Data for a relaxed Ba3TlAg3 crystal.

Lattice parameters (Å, degrees): 6.9337 6.9337 16.8430 108.47 108.47 40.51
Positions (direct):
Ba 0.0292 0.0292 0.3837
Ba 0.1055 0.1055 0.9244
Ba 0.2408 0.2408 0.2333
Ba 0.7592 0.7592 0.7667
Ba 0.8945 0.8945 0.0756
Ba 0.9708 0.9708 0.6163
Tl 0.2558 0.2558 0.5942
Tl 0.7442 0.7442 0.4058
Ag 0.3807 0.3807 0.4604
Ag 0.4001 0.4001 0.9225
Ag 0.4656 0.4656 0.7710
Ag 0.5344 0.5344 0.2290
Ag 0.5999 0.5999 0.0775
Ag 0.6193 0.6193 0.5396

Output
DFT formation energy: -1.88 eV/f.u.
space group: C2/m (12)

---

Entry 2:
## Ba3Tl7Ag4 (PBE-GGA)

Data for a relaxed Ba3Tl7Ag4 crystal.

Lattice parameters (Å, degrees): 9.5828 9.5828 10.3347 121.47 121.47 31.69
Positions (direct):
Ba 0.0000 0.0000 0.0000
Ba 0.3043 0.3043 0.3005
Ba 0.6957 0.6957 0.6995
Tl 0.0000 0.0000 0.5000
Tl 0.1546 0.1546 0.4267
Tl 0.3254 0.3254 0.9690
Tl 0.4995 0.4995 0.2978
Tl 0.5005 0.5005 0.7022
Tl 0.6746 0.6746 0.0310
Tl 0.8454 0.8454 0.5733
Ag 0.1336 0.1336 0.8559
Ag 0.3414 0.3414 0.7060
Ag 0.6586 0.6586 0.2940
Ag 0.8664 0.8664 0.1441

Output
DFT formation energy: -3.13 eV/f.u.
space group: C2/m (12)

---

| no. | raw total energy (eV per formula unit) | DOS at the Fermi energy (states/eV per cell) |
| --- | --- | --- |
| 1 | -18.57 | 9.6 |
| 2 | -36.87 | 7.2 |